# 1
A plane-wave DFT calculation with PBE was carried out for a geometry-optimized In2Ag4Au structure.

a b c (Å): 5.5268 9.4988 10.8732
angles (deg): 90.00 90.00 90.00
With the nearest neighbours (Å) after each atom.
Space group Cmce (No. 64)
One atom of each set of equivalent atoms:
In 0.0000 0.1622 0.0609 x8  6 Ag 2.82-3.10
Ag 0.0000 0.2199 0.3226 x8  4 In 2.82-3.09, 4 Ag 2.83-2.89, 1 Au 2.84
Ag 0.2500 0.0343 0.7500 x8  6 Ag 2.76-2.89, 2 Au 3.07
Au 0.0000 0.0000 0.5000 x4  6 Ag 2.84-3.07

Summary:
**Energy of formation from the pure elements**: 0.01 eV/atom
**Spin magnetization**: 0.00 μB/cell
**Total DFT energy (no corrections)**: -0.2112 Ry per atom

# 2
A plane-wave DFT calculation with PBE was carried out for a geometry-optimized Ho2B2SbRh5 structure.

a b c (Å): 9.5228 9.5228 3.3135
angles (deg): 90.00 90.00 90.00
With the nearest neighbours (Å) after each atom.
Space group P4/mbm (No. 127)
One atom of each set of equivalent atoms:
Ho 0.1750 0.3250 0.0000 x4  3 B 2.77-2.85, 10 Rh 2.88-3.03
B 0.1195 0.6195 0.0000 x4  6 Rh 2.28-2.31
Sb 0.0000 0.0000 0.0000 x2  8 Rh 2.78
Rh 0.0000 0.5000 0.5000 x2  4 B 2.31
Rh 0.0711 0.7760 0.5000 x8  2 B 2.28

Summary:
**Spin magnetization**: 0.00 μB/cell
**Total DFT energy (no corrections)**: -0.5254 Ry per atom
**Formation energy without anion corrections**: -8.1 eV per formula unit

# 3
A plane-wave DFT calculation with PBE was carried out for a geometry-optimized Ac2LaCu structure.

a b c (Å): 3.8631 3.8631 34.3677
angles (deg): 90.00 90.00 120.00
With the nearest neighbours (Å) after each atom.
Space group R-3m (No. 166, hexagonal axes)
One atom of each set of equivalent atoms:
Ac 0.0000 0.0000 0.1056 x6  3 Cu 3.06
La 0.0000 0.0000 0.0000 x3  2 Ac 3.63, 6 La 3.86
Cu 0.0000 0.0000 0.5000 x3  6 Ac 3.06

Summary:
**Energy of formation from the pure elements**: 0.24 eV/atom
**Spin magnetization**: 1.53 μB/cell
**Total DFT energy (no corrections)**: -0.2988 Ry per atom

# 4
A plane-wave DFT calculation with PBE was carried out for a geometry-optimized Ba2CrCuB structure.

a b c (Å): 6.0809 6.0809 4.6069
angles (deg): 90.00 90.00 90.00
With the nearest neighbours (Å) after each atom.
Space group P4/mmm (No. 123)
One atom of each set of equivalent atoms:
Ba 0.0000 0.5000 0.0000 x2  2 Cr 3.04
Cr 0.0000 0.0000 0.0000 x1  2 Cu 2.30
Cu 0.0000 0.0000 0.5000 x1  2 Cr 2.30
B 0.5000 0.5000 0.5000 x1  8 Ba 3.81

Summary:
**Energy of formation from the pure elements**: 1.28 eV/atom
**Spin magnetization**: 3.22 μB/cell
**Total DFT energy (no corrections)**: -0.2623 Ry per atom

# 5
A plane-wave DFT calculation with PBE was carried out for a geometry-optimized HfMgZnPt2 structure.

a b c (Å): 4.6852 4.6852 4.3811
angles (deg): 90.00 90.00 90.00
With the nearest neighbours (Å) after each atom.
Space group P4/mmm (No. 123)
One atom of each set of equivalent atoms:
Hf 0.0000 0.0000 0.0000 x1  8 Pt 3.21, 4 Mg 3.31
Mg 0.5000 0.5000 0.0000 x1  2 Zn 2.19
Zn 0.5000 0.5000 0.5000 x1  2 Mg 2.19, 4 Pt 2.34
Pt 0.0000 0.5000 0.5000 x2  2 Zn 2.34

Summary:
**Energy of formation from the pure elements**: 0.17 eV/atom
**Spin magnetization**: 0.00 μB/cell
**Total DFT energy (no corrections)**: -0.3535 Ry per atom

# 6
A plane-wave DFT calculation with PBE was carried out for a geometry-optimized NdNi2Sb structure.

a b c (Å): 4.3410 4.3410 9.3760
angles (deg): 90.00 90.00 120.00
With the nearest neighbours (Å) after each atom.
Space group P6_3/mmc (No. 194)
One atom of each set of equivalent atoms:
Nd 0.3333 0.6667 0.2500 x2  8 Ni 2.98-3.03
Ni 0.3333 0.6667 0.5681 x4  3 Sb 2.59, 3 Ni 2.81
Sb 0.0000 0.0000 0.0000 x2  6 Ni 2.59

Summary:
**Spin magnetization**: 0.00 μB/cell
**Total DFT energy (no corrections)**: -0.4153 Ry per atom
**Formation energy without anion corrections**: -2.1 eV per formula unit